Here is a relaxed Rb2CrPdF6 crystal from Alexandria. Energies are from GGA+U.

As for the final energy: -49.29 eV per cell. Its total magnetization is 4.0 μB per formula unit.

Lattice parameters (Å, degrees): 6.1160 6.1160 6.1160 117.54 117.54 94.32
With the nearest neighbours (Å) after each atom.
Fractional coordinates of all 10 atoms:
1 Rb 0.2500 0.7500 0.5000  12 F 3.07-3.17
2 Rb 0.7500 0.2500 0.5000  12 F 3.07-3.17
3 Cr 0.0000 0.0000 0.0000  6 F 1.95-1.98
4 Pd 0.5000 0.5000 0.0000  2 F 2.18
5 F 0.2179 0.2179 0.4358  1 Cr 1.95
6 F 0.2179 0.7821 0.0000  1 Cr 1.95
7 F 0.2379 0.2379 0.0000  1 Cr 1.98, 1 Pd 2.18
8 F 0.7621 0.7621 0.0000  1 Cr 1.98, 1 Pd 2.18
9 F 0.7821 0.2179 0.0000  1 Cr 1.95
10 F 0.7821 0.7821 0.5642  1 Cr 1.95